(P)
# Y3Ta4 | Alexandria via LeMat-Bulk | PBE-GGA | optimized geometry
data_Y3Ta4
_cell_length_a 3.5513
_cell_length_b 3.5513
_cell_length_c 26.9311
_cell_angle_alpha 90.00
_cell_angle_beta 90.00
_cell_angle_gamma 90.00
_space_group_name_H-M_alt 'I 4/m m m'
_space_group_IT_number 139
_space_group_name_Hall '-I 4 2'
loop_
_atom_site_label
_atom_site_fract_x
_atom_site_fract_y
_atom_site_fract_z
Y1 0.0000 0.0000 0.0000
Y2 0.0000 0.0000 0.3033
Ta1 0.0000 0.0000 0.1221
Ta2 0.0000 0.0000 0.4212
# DOS at the Fermi energy in states/eV/cell: 12.27

(Q)
# Y3Ta4 | Alexandria via LeMat-Bulk | PBE-GGA | optimized geometry
data_Y3Ta4
_cell_length_a 5.9073
_cell_length_b 5.9073
_cell_length_c 5.2849
_cell_angle_alpha 90.00
_cell_angle_beta 90.00
_cell_angle_gamma 120.00
_space_group_name_H-M_alt 'P 6/m m m'
_space_group_IT_number 191
_space_group_name_Hall '-P 6 2'
loop_
_atom_site_label
_atom_site_fract_x
_atom_site_fract_y
_atom_site_fract_z
Y1 0.0000 0.5000 0.0000
Ta1 0.0000 0.0000 0.2543
Ta2 0.3333 0.6667 0.5000
# DOS at the Fermi energy in states/eV/cell: 12.38

How far above the most stable structure does each one sit? In kJ/mol of atoms: (P) 0.0; (Q) 72.7.

(P)
# YTa3Zn | Alexandria via LeMat-Bulk | PBE-GGA | optimized geometry
data_YTa3Zn
_cell_length_a 4.8266
_cell_length_b 4.8266
_cell_length_c 4.8266
_cell_angle_alpha 90.00
_cell_angle_beta 90.00
_cell_angle_gamma 90.00
_space_group_name_H-M_alt 'P m -3 m'
_space_group_IT_number 221
_space_group_name_Hall '-P 4 2 3'
loop_
_atom_site_label
_atom_site_fract_x
_atom_site_fract_y
_atom_site_fract_z
Y1 0.0000 0.0000 0.0000
Ta1 0.0000 0.5000 0.5000
Zn1 0.5000 0.5000 0.5000
# DOS at the Fermi energy in states/eV/cell: 7.53

(Q)
# YTa3Zn | Alexandria via LeMat-Bulk | PBE-GGA | optimized geometry
data_YTa3Zn
_cell_length_a 4.9348
_cell_length_b 4.9348
_cell_length_c 4.9348
_cell_angle_alpha 90.00
_cell_angle_beta 90.00
_cell_angle_gamma 90.00
_space_group_name_H-M_alt 'P m -3 m'
_space_group_IT_number 221
_space_group_name_Hall '-P 4 2 3'
loop_
_atom_site_label
_atom_site_fract_x
_atom_site_fract_y
_atom_site_fract_z
Y1 0.0000 0.0000 0.0000
Ta1 0.0000 0.0000 0.5000
Zn1 0.5000 0.5000 0.5000
# DOS at the Fermi energy in states/eV/cell: 5.02

How far above the most stable structure does each one sit? In kJ/mol of atoms: (P) 0.0; (Q) 126.1.

(P)
# YZr2Ta | Alexandria via LeMat-Bulk | PBE-GGA | optimized geometry
data_YZr2Ta
_cell_length_a 3.6930
_cell_length_b 3.6930
_cell_length_c 7.0834
_cell_angle_alpha 90.00
_cell_angle_beta 90.00
_cell_angle_gamma 90.00
_space_group_name_H-M_alt 'P 4 m m'
_space_group_IT_number 99
loop_
_space_group_symop_operation_xyz
'x,y,z'
'-y,x,z'
'-x,-y,z'
'y,-x,z'
'-x,y,z'
'y,x,z'
'x,-y,z'
'-y,-x,z'
loop_
_atom_site_label
_atom_site_fract_x
_atom_site_fract_y
_atom_site_fract_z
Y1 0.0000 0.0000 0.0000
Zr1 0.0000 0.0000 0.5410
Zr2 0.5000 0.5000 0.3104
Ta1 0.5000 0.5000 0.7192
# DOS at the Fermi energy in states/eV/cell: 5.10

(Q)
# YZr2Ta | Alexandria via LeMat-Bulk | PBE-GGA | optimized geometry
data_YZr2Ta
_cell_length_a 7.1572
_cell_length_b 7.1572
_cell_length_c 7.1572
_cell_angle_alpha 90.00
_cell_angle_beta 90.00
_cell_angle_gamma 90.00
_space_group_name_H-M_alt 'F m -3 m'
_space_group_IT_number 225
_space_group_name_Hall '-F 4 2 3'
loop_
_atom_site_label
_atom_site_fract_x
_atom_site_fract_y
_atom_site_fract_z
Y1 0.0000 0.0000 0.0000
Zr1 0.2500 0.2500 0.2500
Ta1 0.0000 0.0000 0.5000
# DOS at the Fermi energy in states/eV/cell: 38.22

(R)
# YZr2Ta | Alexandria via LeMat-Bulk | PBE-GGA | optimized geometry
data_YZr2Ta
_cell_length_a 10.3906
_cell_length_b 3.1270
_cell_length_c 5.8363
_cell_angle_alpha 90.00
_cell_angle_beta 97.51
_cell_angle_gamma 90.00
_space_group_name_H-M_alt 'C 1 2/m 1'
_space_group_IT_number 12
loop_
_space_group_symop_operation_xyz
'x,y,z'
'-x,-y,-z'
'-x,y,-z'
'x,-y,z'
'x+1/2,y+1/2,z'
'-x+1/2,-y+1/2,-z'
'-x+1/2,y+1/2,-z'
'x+1/2,-y+1/2,z'
loop_
_atom_site_label
_atom_site_fract_x
_atom_site_fract_y
_atom_site_fract_z
Y1 0.0000 0.0000 0.0000
Zr1 0.2377 0.0000 0.7239
Ta1 0.0000 0.5000 0.5000
# DOS at the Fermi energy in states/eV/cell: 9.50

How far above the most stable structure does each one sit? In kJ/mol of atoms: (P) 0.0; (Q) 7.7; (R) 4.0.

(P)
# YZrTa2 | Alexandria via LeMat-Bulk | PBE-GGA | optimized geometry
data_YZrTa2
_cell_length_a 3.5413
_cell_length_b 4.9066
_cell_length_c 10.1563
_cell_angle_alpha 90.00
_cell_angle_beta 90.00
_cell_angle_gamma 90.00
_space_group_name_H-M_alt 'C m m 2'
_space_group_IT_number 35
loop_
_space_group_symop_operation_xyz
'x,y,z'
'-x,-y,z'
'-x,y,z'
'x,-y,z'
'x+1/2,y+1/2,z'
'-x+1/2,-y+1/2,z'
'-x+1/2,y+1/2,z'
'x+1/2,-y+1/2,z'
loop_
_atom_site_label
_atom_site_fract_x
_atom_site_fract_y
_atom_site_fract_z
Y1 0.0000 0.0000 0.0000
Zr1 0.0000 0.5000 0.6966
Ta1 0.0000 0.0000 0.4665
Ta2 0.0000 0.5000 0.2557
# DOS at the Fermi energy in states/eV/cell: 10.64

(Q)
# YZrTa2 | Alexandria via LeMat-Bulk | PBE-GGA | optimized geometry
data_YZrTa2
_cell_length_a 2.9722
_cell_length_b 2.9722
_cell_length_c 9.9101
_cell_angle_alpha 90.00
_cell_angle_beta 90.00
_cell_angle_gamma 90.00
_space_group_name_H-M_alt 'P 4/m m m'
_space_group_IT_number 123
_space_group_name_Hall '-P 4 2'
loop_
_atom_site_label
_atom_site_fract_x
_atom_site_fract_y
_atom_site_fract_z
Y1 0.0000 0.0000 0.0000
Zr1 0.0000 0.0000 0.5000
Ta1 0.5000 0.5000 0.2632
# DOS at the Fermi energy in states/eV/cell: 6.01

How far above the most stable structure does each one sit? In kJ/mol of atoms: (P) 0.0; (Q) 11.8.

(P)
# Y2ZrTa2 | Alexandria via LeMat-Bulk | PBE-GGA | optimized geometry
data_Y2ZrTa2
_cell_length_a 8.8912
_cell_length_b 8.8912
_cell_length_c 3.0438
_cell_angle_alpha 90.00
_cell_angle_beta 90.00
_cell_angle_gamma 90.00
_space_group_name_H-M_alt 'P 4/m b m'
_space_group_IT_number 127
_space_group_name_Hall '-P 4 2ab'
loop_
_atom_site_label
_atom_site_fract_x
_atom_site_fract_y
_atom_site_fract_z
Y1 0.1215 0.3785 0.0000
Zr1 0.0000 0.0000 0.0000
Ta1 0.1845 0.6845 0.5000
# DOS at the Fermi energy in states/eV/cell: 14.71

(Q)
# Y2ZrTa2 | Alexandria via LeMat-Bulk | PBE-GGA | optimized geometry
data_Y2ZrTa2
_cell_length_a 4.0376
_cell_length_b 4.0376
_cell_length_c 15.5461
_cell_angle_alpha 90.00
_cell_angle_beta 90.00
_cell_angle_gamma 90.00
_space_group_name_H-M_alt 'I 4/m m m'
_space_group_IT_number 139
_space_group_name_Hall '-I 4 2'
loop_
_atom_site_label
_atom_site_fract_x
_atom_site_fract_y
_atom_site_fract_z
Y1 0.0000 0.0000 0.1003
Zr1 0.0000 0.0000 0.5000
Ta1 0.0000 0.5000 0.2500
# DOS at the Fermi energy in states/eV/cell: 10.49

How far above the most stable structure does each one sit? In kJ/mol of atoms: (P) 3.7; (Q) 0.0.